Material: AlGe2Au6
Method: DFT, PBE-GGA
State: relaxed

The energy relative to the elements comes out at -0.0567 eV per atom.

It has space group C2/m (No. 12), with a = 11.345 Å, b = 4.850 Å, c = 7.771 Å, α = 90.00°, β = 128.74° and γ = 90.00°. The inequivalent atoms are Al at (0.000, 0.000, 0.000), Ge at (0.148, 0.000, 0.489), Au at (0.002, 0.500, 0.823), Au at (0.160, 0.000, 0.860) and Au at (0.191, 0.500, 0.667).